[1]
The following is a PBEsol calculation of an optimized crystal structure of Sc2MoIr, from Alexandria via LeMat-Bulk.

a b c (Å): 2.9515 2.9515 28.3960
angles (deg): 90.00 90.00 120.00
Closest atoms and distances in Å follow each position.
Space group R3m (No. 160, hexagonal axes)
One atom of each set of equivalent atoms:
Sc1 0.0000 0.0000 0.0000 (multiplicity 3)  3 Mo 2.88, 6 Sc 2.95
Sc2 0.0000 0.0000 0.2320 (multiplicity 3)  3 Ir 2.78, 6 Sc 2.95
Mo1 0.0000 0.0000 0.7485 (multiplicity 3)  3 Ir 2.68, 3 Sc 2.88, 6 Mo 2.95
Ir1 0.0000 0.0000 0.4879 (multiplicity 3)  3 Mo 2.68, 3 Sc 2.78, 6 Ir 2.95

Calculated values
ΔE_f: 87.3 meV/atom
Total moment: 0.00 μB per cell
Volume: 214 Å³ per cell

---

[2]
The following is a PBEsol calculation of an optimized crystal structure of CuTcHgRu2, from Alexandria via LeMat-Bulk.

a b c (Å): 4.4304 4.4304 4.3989
angles (deg): 90.00 90.00 90.00
Closest atoms and distances in Å follow each position.
Space group P4/mmm (No. 123)
One atom of each set of equivalent atoms:
Cu1 0.0000 0.0000 0.0000 (multiplicity 1)  2 Tc 2.20, 4 Ru 2.22
Tc1 0.0000 0.0000 0.5000 (multiplicity 1)  2 Cu 2.20
Hg1 0.5000 0.5000 0.5000 (multiplicity 1)  8 Ru 3.12, 4 Tc 3.13
Ru1 0.0000 0.5000 0.0000 (multiplicity 2)  2 Cu 2.22

Calculated values
ΔE_f: 1689.9 meV/atom
Total moment: 2.35 μB per cell
Volume: 86 Å³ per cell

---

[3]
The following is a PBEsol calculation of an optimized crystal structure of AgTeHI2, from Alexandria via LeMat-Bulk.

a b c (Å): 5.6370 5.6370 5.3228
angles (deg): 90.00 90.00 90.00
Closest atoms and distances in Å follow each position.
Space group P4/mmm (No. 123)
One atom of each set of equivalent atoms:
Ag1 0.0000 0.0000 0.0000 (multiplicity 1)  2 Te 2.66, 4 I 2.82
Te1 0.0000 0.0000 0.5000 (multiplicity 1)  2 Ag 2.66
H1 0.5000 0.5000 0.5000 (multiplicity 1)  8 I 3.88, 4 Te 3.99
I1 0.0000 0.5000 0.0000 (multiplicity 2)  2 Ag 2.82

Calculated values
Polymorph energy (0 for the lowest one): 7.55 kcal/mol of atoms
Total moment: 1.99 μB per cell
Volume: 169 Å³ per cell

---

[4]
The following is a PBEsol calculation of an optimized crystal structure of Co3AgGe, from Alexandria via LeMat-Bulk.

a b c (Å): 4.5242 4.5242 4.5242
angles (deg): 90.00 90.00 90.00
Closest atoms and distances in Å follow each position.
Space group Pm-3m (No. 221)
One atom of each set of equivalent atoms:
Co1 0.0000 0.0000 0.5000 (multiplicity 3)  2 Ag 2.26
Ag1 0.0000 0.0000 0.0000 (multiplicity 1)  6 Co 2.26
Ge1 0.5000 0.5000 0.5000 (multiplicity 1)  12 Co 3.20

Calculated values
ΔE_f: 1766.9 meV/atom
Total moment: 5.59 μB per cell
Volume: 93 Å³ per cell